a | TmTh2Pa GGA-PBE optimized geometry; total magnetization = 0.000 μB per atom; N(E_F) = 5.5 states/eV per cell; space-group type = No. 123
1.0
3.495 0.000 0.000
0.000 3.495 0.000
0.000 0.000 9.761
Tm Th Pa
1 2 1
Direct
0.000 0.000 0.000
0.500 0.500 0.259
0.500 0.500 0.741
0.000 0.000 0.500

---

b | TmTh2Pa GGA-PBE optimized geometry; total magnetization = 0.000 μB per atom; N(E_F) = 9.1 states/eV per cell; space-group type = No. 123
1.0
4.976 0.000 0.000
0.000 4.976 0.000
0.000 0.000 4.786
Tm Th Pa
1 2 1
Direct
0.000 0.000 0.000
0.000 0.500 0.500
0.500 0.000 0.500
0.500 0.500 0.000

---

c | TmTh2Pa GGA-PBE optimized geometry; total magnetization = 0.000 μB per atom; N(E_F) = 7.0 states/eV per cell; space-group type = No. 160
1.0
1.743 1.006 11.355
-1.743 1.006 11.355
0.000 -2.012 11.355
Tm Th Pa
1 2 1
Direct
0.000 0.000 0.000
0.583 0.583 0.583
0.753 0.753 0.753
0.169 0.169 0.169

---

Stability ranking, top entry: a; the second entry is 18 meV per atom less favorable.

---

a | Tm2ThPa GGA-PBE optimized geometry; total magnetization = 0.002 μB per atom; N(E_F) = 7.5 states/eV per cell; space-group type = No. 123
1.0
3.400 0.000 0.000
0.000 3.400 0.000
0.000 0.000 10.070
Tm Th Pa
2 1 1
Direct
0.000 0.000 0.234
0.000 0.000 0.766
0.500 0.500 0.500
0.500 0.500 0.000

---

b | Tm2ThPa GGA-PBE optimized geometry; total magnetization = 0.000 μB per atom; N(E_F) = 7.3 states/eV per cell; space-group type = No. 123
1.0
4.810 0.000 0.000
0.000 4.810 0.000
0.000 0.000 5.026
Tm Th Pa
2 1 1
Direct
0.000 0.500 0.000
0.500 0.000 0.000
0.000 0.000 0.500
0.500 0.500 0.500

---

Stability ranking, top entry: a; the second entry is 31 meV per atom less favorable.

---

a | ThPa2V GGA-PBE optimized geometry; total magnetization = 0.000 μB per atom; N(E_F) = 8.1 states/eV per cell; space-group type = No. 123
1.0
3.436 0.000 0.000
0.000 3.436 0.000
0.000 0.000 8.077
Th Pa V
1 2 1
Direct
0.000 0.000 0.000
0.500 0.500 0.293
0.500 0.500 0.707
0.000 0.000 0.500

---

b | ThPa2V GGA-PBE optimized geometry; total magnetization = 0.401 μB per atom; N(E_F) = 7.9 states/eV per cell; space-group type = No. 166
1.0
1.585 0.915 11.099
-1.585 0.915 11.099
0.000 -1.831 11.099
Th Pa V
1 2 1
Direct
0.000 0.000 0.000
0.096 0.096 0.096
0.904 0.904 0.904
0.500 0.500 0.500

---

Stability ranking, top entry: a; the second entry is 264 meV per atom less favorable.

---

a | ThPaZn4 GGA-PBE optimized geometry; total magnetization = 0.000 μB per atom; N(E_F) = 7.1 states/eV per cell; space-group type = No. 47
1.0
3.342 0.000 0.000
0.000 4.590 0.000
0.000 0.000 7.985
Th Pa Zn
1 1 4
Direct
0.000 0.000 0.000
0.000 0.500 0.500
0.500 0.000 0.339
0.500 0.000 0.661
0.500 0.500 0.173
0.500 0.500 0.827

---

b | ThPaZn4 GGA-PBE optimized geometry; total magnetization = 0.135 μB per atom; N(E_F) = 8.7 states/eV per cell; space-group type = No. 216
1.0
0.000 3.897 3.897
3.897 0.000 3.897
3.897 3.897 0.000
Th Pa Zn
1 1 4
Direct
0.000 0.000 0.000
0.250 0.250 0.250
0.128 0.624 0.624
0.624 0.128 0.624
0.624 0.624 0.128
0.624 0.624 0.624

---

Stability ranking, top entry: a; the second entry is 60 meV per atom less favorable.

---

a | ThPa2Zn GGA-PBE optimized geometry; total magnetization = 0.000 μB per atom; N(E_F) = 7.5 states/eV per cell; space-group type = No. 166
1.0
1.613 0.932 11.933
-1.613 0.932 11.933
0.000 -1.863 11.933
Th Pa Zn
1 2 1
Direct
0.000 0.000 0.000
0.415 0.415 0.415
0.585 0.585 0.585
0.500 0.500 0.500

---

b | ThPa2Zn GGA-PBE optimized geometry; total magnetization = 0.000 μB per atom; N(E_F) = 6.4 states/eV per cell; space-group type = No. 123
1.0
3.226 0.000 0.000
0.000 3.226 0.000
0.000 0.000 9.496
Th Pa Zn
1 2 1
Direct
0.000 0.000 0.000
0.500 0.500 0.277
0.500 0.500 0.723
0.000 0.000 0.500

---

c | ThPa2Zn GGA-PBE optimized geometry; total magnetization = 0.000 μB per atom; N(E_F) = 8.2 states/eV per cell; space-group type = No. 123
1.0
4.457 0.000 0.000
0.000 4.457 0.000
0.000 0.000 4.957
Th Pa Zn
1 2 1
Direct
0.000 0.000 0.000
0.000 0.500 0.500
0.500 0.000 0.500
0.500 0.500 0.000

---

Stability ranking, top entry: c; the second entry is 31 meV per atom less favorable.

---

a | ThPaZn GGA-PBE optimized geometry; total magnetization = 0.000 μB per atom; N(E_F) = 5.8 states/eV per cell; space-group type = No. 107
1.0
-1.625 1.625 7.078
1.625 -1.625 7.078
1.625 1.625 -7.078
Th Pa Zn
1 1 1
Direct
0.000 0.000 0.000
0.312 0.312 0.000
0.662 0.662 0.000

---

b | ThPaZn GGA-PBE optimized geometry; total magnetization = 0.000 μB per atom; N(E_F) = 8.8 states/eV per cell; space-group type = No. 129
1.0
3.286 0.000 0.000
0.000 3.286 0.000
0.000 0.000 13.485
Th Pa Zn
2 2 2
Direct
0.250 0.250 0.219
0.750 0.750 0.781
0.250 0.250 0.588
0.750 0.750 0.412
0.250 0.250 0.950
0.750 0.750 0.050

---

c | ThPaZn GGA-PBE optimized geometry; total magnetization = 0.000 μB per atom; N(E_F) = 5.4 states/eV per cell; space-group type = No. 156
1.0
5.119 0.000 0.000
-2.559 4.433 0.000
0.000 0.000 3.215
Th Pa Zn
1 1 1
Direct
0.000 0.000 0.000
0.333 0.667 0.571
0.667 0.333 0.301

---

Stability ranking, top entry: b; the second entry is 45 meV per atom less favorable.

---

a | ThZr2Pa GGA-PBE optimized geometry; total magnetization = 0.000 μB per atom; N(E_F) = 7.8 states/eV per cell; space-group type = No. 166
1.0
1.651 0.953 11.037
-1.651 0.953 11.037
0.000 -1.907 11.037
Th Zr Pa
1 2 1
Direct
0.000 0.000 0.000
0.247 0.247 0.247
0.753 0.753 0.753
0.500 0.500 0.500

---

b | ThZr2Pa GGA-PBE optimized geometry; total magnetization = 0.000 μB per atom; N(E_F) = 8.2 states/eV per cell; space-group type = No. 160
1.0
1.654 0.955 11.018
-1.654 0.955 11.018
0.000 -1.910 11.018
Th Zr Pa
1 2 1
Direct
0.000 0.000 0.000
0.247 0.247 0.247
0.420 0.420 0.420
0.833 0.833 0.833

---

Stability ranking, top entry: b; the second entry is 16 meV per atom less favorable.

---

a | PaTi GGA-PBE optimized geometry; total magnetization = 0.358 μB per atom; N(E_F) = 5.9 states/eV per cell; space-group type = No. 221
1.0
3.505 0.000 0.000
0.000 3.505 0.000
0.000 0.000 3.505
Pa Ti
1 1
Direct
0.000 0.000 0.000
0.500 0.500 0.500

---

b | PaTi GGA-PBE optimized geometry; total magnetization = 0.000 μB per atom; N(E_F) = 5.9 states/eV per cell; space-group type = No. 59
1.0
3.143 0.000 0.000
0.000 4.139 0.000
0.000 0.000 6.430
Pa Ti
2 2
Direct
0.250 0.250 0.126
0.750 0.750 0.874
0.250 0.250 0.599
0.750 0.750 0.401

---

Stability ranking, top entry: b; the second entry is 251 meV per atom less favorable.

---

a | Pa2Ti GGA-PBE optimized geometry; total magnetization = 0.000 μB per atom; N(E_F) = 13.1 states/eV per cell; space-group type = No. 63
1.0
2.316 -4.903 0.000
2.316 4.903 0.000
0.000 0.000 6.123
Pa Ti
4 2
Direct
0.000 0.000 0.000
0.000 0.000 0.500
0.290 0.710 0.750
0.710 0.290 0.250
0.398 0.602 0.250
0.602 0.398 0.750

---

b | Pa2Ti GGA-PBE optimized geometry; total magnetization = 0.000 μB per atom; N(E_F) = 17.1 states/eV per cell; space-group type = No. 227
1.0
0.000 4.137 4.137
4.137 0.000 4.137
4.137 4.137 0.000
Pa Ti
4 2
Direct
0.000 0.000 0.000
0.000 0.000 0.500
0.000 0.500 0.000
0.500 0.000 0.000
0.375 0.375 0.375
0.625 0.625 0.625

---

Stability ranking, top entry: a; the second entry is 347 meV per atom less favorable.

---

a | PaTiTl GGA-PBE optimized geometry; total magnetization = 0.198 μB per atom; N(E_F) = 11.2 states/eV per cell; space-group type = No. 12
1.0
2.524 -2.511 0.000
2.524 2.511 0.000
-0.123 0.000 10.627
Pa Ti Tl
2 2 2
Direct
0.248 0.248 0.419
0.752 0.752 0.581
0.256 0.256 0.739
0.744 0.744 0.261
0.242 0.242 0.101
0.758 0.758 0.899

---

b | PaTiTl GGA-PBE optimized geometry; total magnetization = 0.000 μB per atom; N(E_F) = 5.7 states/eV per cell; space-group type = No. 187
1.0
5.059 0.000 0.000
-2.529 4.381 0.000
0.000 0.000 3.128
Pa Ti Tl
1 1 1
Direct
0.000 0.000 0.000
0.667 0.333 0.500
0.333 0.667 0.500

---

Stability ranking, top entry: a; the second entry is 115 meV per atom less favorable.

---

a | TmPaTi GGA-PBE optimized geometry; total magnetization = 0.000 μB per atom; N(E_F) = 12.9 states/eV per cell; space-group type = No. 166
1.0
2.607 1.505 6.330
-2.607 1.505 6.330
0.000 -3.010 6.330
Tm Pa Ti
2 2 2
Direct
0.117 0.117 0.117
0.883 0.883 0.883
0.300 0.300 0.300
0.700 0.700 0.700
0.429 0.429 0.429
0.571 0.571 0.571

---

b | TmPaTi GGA-PBE optimized geometry; total magnetization = 0.000 μB per atom; N(E_F) = 4.9 states/eV per cell; space-group type = No. 156
1.0
3.242 0.000 0.000
-1.621 2.808 0.000
0.000 0.000 7.813
Tm Pa Ti
1 1 1
Direct
0.000 0.000 0.000
0.333 0.667 0.643
0.667 0.333 0.335

---

Stability ranking, top entry: b; the second entry is 156 meV per atom less favorable.

---

a | UPa2Ti GGA-PBE optimized geometry; total magnetization = 0.001 μB per atom; N(E_F) = 10.2 states/eV per cell; space-group type = No. 123
1.0
5.286 0.000 0.000
0.000 5.286 0.000
0.000 0.000 3.102
U Pa Ti
1 2 1
Direct
0.000 0.000 0.000
0.000 0.500 0.500
0.500 0.000 0.500
0.500 0.500 0.000

---

b | UPa2Ti GGA-PBE optimized geometry; total magnetization = 0.000 μB per atom; N(E_F) = 9.1 states/eV per cell; space-group type = No. 123
1.0
3.571 0.000 0.000
0.000 3.571 0.000
0.000 0.000 6.740
U Pa Ti
1 2 1
Direct
0.000 0.000 0.000
0.500 0.500 0.250
0.500 0.500 0.750
0.000 0.000 0.500

---

Stability ranking, top entry: a; the second entry is 40 meV per atom less favorable.

---

a | PaTiV GGA-PBE optimized geometry; total magnetization = 0.000 μB per atom; N(E_F) = 18.1 states/eV per cell; space-group type = No. 62
1.0
5.766 0.000 0.000
0.000 4.516 0.000
0.000 0.000 8.255
Pa Ti V
4 4 4
Direct
0.170 0.250 0.103
0.330 0.750 0.603
0.670 0.250 0.397
0.830 0.750 0.897
0.152 0.250 0.434
0.348 0.750 0.934
0.652 0.250 0.066
0.848 0.750 0.566
0.011 0.250 0.764
0.489 0.750 0.264
0.511 0.250 0.736
0.989 0.750 0.236

---

b | PaTiV GGA-PBE optimized geometry; total magnetization = 0.000 μB per atom; N(E_F) = 3.7 states/eV per cell; space-group type = No. 156
1.0
4.513 0.000 0.000
-2.256 3.908 0.000
0.000 0.000 3.049
Pa Ti V
1 1 1
Direct
0.000 0.000 0.000
0.667 0.333 0.402
0.333 0.667 0.746

---

Stability ranking, top entry: b; the second entry is 89 meV per atom less favorable.